(1)
A plane-wave DFT calculation with GGA-PBE was carried out for crystalline NaPdCl at its relaxed geometry.

The volume is 65.7 Å³/f.u. The density is 4.17 g cm⁻³. For the offset from the most stable computed form, the calculation gives 0.008 eV/atom. The calculation puts the energy at -3.5559 eV/atom. Its density of states at the Fermi level is 0.61 states/eV/cell. The magnetic moment is 0.000 μB/atom. The formation energy (no corrections) is -2.3 eV/f.u.

It has space group P1 (No. 1), with a = 3.556 Å, b = 3.557 Å, c = 10.402 Å, α = 89.44°, β = 86.35° and γ = 90.00°. Symmetry generates all atoms from Na at (0.000, 0.000, 0.000), Na at (0.408, 0.460, 0.360), Pd at (0.367, 0.453, 0.675), Pd at (0.889, 0.958, 0.593), Cl at (0.517, 0.502, 0.909) and Cl at (0.927, 0.963, 0.256).



(2)
A plane-wave DFT calculation with GGA-PBE was carried out for crystalline TbPm2Nd3Er6 at its relaxed geometry.

The volume is 386.6 Å³/f.u. The density is 8.10 g cm⁻³. The calculation puts the energy at -4.6360 eV/atom. Its density of states at the Fermi level is 26.64 states/eV/cell. Its formation energy is 0.18 eV per formula unit. The magnetic moment is 0.000 μB/atom.

It has space group C2/m (No. 12), with a = 6.212 Å, b = 10.757 Å, c = 11.754 Å, α = 90.00°, β = 100.11° and γ = 90.00°. Symmetry generates all atoms from Tb at (0.000, 0.000, 0.000), Pm at (0.000, 0.333, 0.000), Nd at (0.000, 0.167, 0.500), Nd at (0.000, 0.500, 0.500), Er at (0.250, 0.000, 0.751) and Er at (0.250, 0.167, 0.249).



(3)
A plane-wave DFT calculation with GGA-PBE was carried out for crystalline ZrSb5 at its relaxed geometry.

The volume is 168.1 Å³/f.u. The density is 6.91 g cm⁻³. For the offset from the most stable computed form, the calculation gives 0.000 eV/atom. The calculation puts the energy at -4.9371 eV/atom. Its density of states at the Fermi level is 5.91 states/eV/cell. The magnetic moment is 0.000 μB/atom. The formation energy (no corrections) is -0.5 eV/f.u.

It has space group Cm (No. 8), with a = 11.797 Å, b = 3.195 Å, c = 8.933 Å, α = 90.00°, β = 93.03° and γ = 90.00°. Symmetry generates all atoms from Zr at (0.000, 0.000, 0.000), Sb at (0.067, 0.500, 0.724), Sb at (0.087, 0.500, 0.274), Sb at (0.277, 0.000, 0.987), Sb at (0.329, 0.000, 0.649) and Sb at (0.347, 0.500, 0.316).



(4)
A plane-wave DFT calculation with GGA-PBE was carried out for crystalline LaTaTl at its relaxed geometry.

The volume is 75.5 Å³/f.u. The density is 11.53 g cm⁻³. For the offset from the most stable computed form, the calculation gives 0.098 eV/atom. The calculation puts the energy at -5.9427 eV/atom. Its density of states at the Fermi level is 2.73 states/eV/cell. Its formation energy is 1.32 eV per formula unit. The magnetic moment is 0.000 μB/atom.

It has space group P3m1 (No. 156), with a = 3.2560 Å, b = 3.2560 Å, c = 8.2197 Å, α = 90.00°, β = 90.00° and γ = 120.00°. Symmetry generates all atoms from La at (0.0000, 0.0000, 0.0000), Ta at (0.3333, 0.6667, 0.3271) and Tl at (0.6667, 0.3333, 0.6314).



(5)
A plane-wave DFT calculation with GGA-PBE was carried out for crystalline Zn2AsF8 at its relaxed geometry.

The volume is 138.7 Å³/f.u. The density is 4.28 g cm⁻³. The calculation puts the energy at -4.0815 eV/atom. Its density of states at the Fermi level is 5.86 states/eV/cell. The magnetic moment is 0.000 μB/atom. The formation energy (no corrections) is -22.7 eV/f.u.

It has space group C2/m (No. 12), with a = 9.258 Å, b = 6.895 Å, c = 4.348 Å, α = 90.00°, β = 91.93° and γ = 90.00°. Symmetry generates all atoms from Zn at (0.121, 0.000, 0.259), As at (0.000, 0.500, 0.000), F at (0.097, 0.000, 0.748), F at (0.100, 0.302, 0.230) and F at (0.165, 0.500, 0.742).



(6)
A plane-wave DFT calculation with GGA-PBE was carried out for crystalline LiPtS3 at its relaxed geometry.

The volume is 109.3 Å³/f.u. The density is 4.53 g cm⁻³. For the offset from the most stable computed form, the calculation gives 0.000 eV/atom. The calculation puts the energy at -3.8832 eV/atom. Its density of states at the Fermi level is 4.05 states/eV/cell. The magnetic moment is 0.400 μB/atom. The formation energy (no corrections) is 0.9 eV/f.u.

It has space group Pm-3m (No. 221), with a = 4.781 Å, b = 4.781 Å, c = 4.781 Å, α = 90.00°, β = 90.00° and γ = 90.00°. Symmetry generates all atoms from Li at (0.000, 0.000, 0.000), Pt at (0.500, 0.500, 0.500) and S at (0.000, 0.500, 0.500).



(7)
A plane-wave DFT calculation with GGA-PBE was carried out for crystalline AcTbPu at its relaxed geometry.

The volume is 106.7 Å³/f.u. The density is 9.80 g cm⁻³. For the offset from the most stable computed form, the calculation gives 0.146 eV/atom. The calculation puts the energy at -7.3666 eV/atom. Its density of states at the Fermi level is 38.22 states/eV/cell. Its formation energy is 0.97 eV per formula unit. The magnetic moment is 2.124 μB/atom.

It has space group C2/m (No. 12), with a = 13.489 Å, b = 3.574 Å, c = 9.920 Å, α = 90.00°, β = 116.80° and γ = 90.00°. Symmetry generates all atoms from Ac at (0.119, 0.000, 0.337), Tb at (0.123, 0.500, 0.679) and Pu at (0.135, 0.000, 0.991).



(8)
A plane-wave DFT calculation with GGA-PBE was carried out for crystalline SnPb2S4 at its relaxed geometry.

The volume is 202.9 Å³/f.u. The density is 5.41 g cm⁻³. For the offset from the most stable computed form, the calculation gives 0.000 eV/atom. The calculation puts the energy at -4.4317 eV/atom. Its density of states at the Fermi level is 0.08 states/eV/cell. The magnetic moment is 0.000 μB/atom. The formation energy (no corrections) is -3.1 eV/f.u.

It has space group Cmmm (No. 65), with a = 8.758 Å, b = 11.760 Å, c = 3.939 Å, α = 90.00°, β = 90.00° and γ = 90.00°. Symmetry generates all atoms from Sn at (0.000, 0.000, 0.000), Pb at (0.250, 0.250, 0.500), S at (0.000, 0.220, 0.000) and S at (0.203, 0.000, 0.500).



(9)
A plane-wave DFT calculation with GGA-PBE was carried out for crystalline Pm8SmEr3 at its relaxed geometry.

The volume is 399.6 Å³/f.u. The density is 7.53 g cm⁻³. The calculation puts the energy at -4.6871 eV/atom. Its density of states at the Fermi level is 15.72 states/eV/cell. Its formation energy is 0.17 eV per formula unit. The magnetic moment is 0.000 μB/atom.

It has space group P-1 (No. 2), with a = 6.254 Å, b = 7.239 Å, c = 9.541 Å, α = 79.05°, β = 77.30° and γ = 73.15°. Symmetry generates all atoms from Pm at (0.000, 0.168, 0.332), Pm at (0.001, 0.666, 0.332), Pm at (0.498, 0.167, 0.834), Pm at (0.498, 0.667, 0.834), Sm at (0.500, 0.000, 0.500), Er at (0.000, 0.000, 0.000), Er at (0.000, 0.500, 0.000) and Er at (0.500, 0.500, 0.500).



(10)
A plane-wave DFT calculation with GGA-PBE was carried out for crystalline LiYRu2 at its relaxed geometry.

The volume is 69.1 Å³/f.u. The density is 7.17 g cm⁻³. For the offset from the most stable computed form, the calculation gives 0.045 eV/atom. The calculation puts the energy at -6.6031 eV/atom. Its density of states at the Fermi level is 5.76 states/eV/cell. Its formation energy is 0.52 eV per formula unit. The magnetic moment is 0.191 μB/atom.

It has space group Cm (No. 8), with a = 10.474 Å, b = 3.169 Å, c = 4.633 Å, α = 90.00°, β = 116.10° and γ = 90.00°. Symmetry generates all atoms from Li at (0.000, 0.000, 0.000), Y at (0.277, 0.500, 0.277), Ru at (0.042, 0.500, 0.542) and Ru at (0.260, 0.000, 0.760).



(11)
A plane-wave DFT calculation with GGA-PBE was carried out for crystalline RePb2Br at its relaxed geometry.

The volume is 100.6 Å³/f.u. The density is 11.24 g cm⁻³. For the offset from the most stable computed form, the calculation gives 0.000 eV/atom. The calculation puts the energy at -4.8274 eV/atom. Its density of states at the Fermi level is 3.17 states/eV/cell. The magnetic moment is 0.000 μB/atom. The formation energy (no corrections) is 2.2 eV/f.u.

It has space group Pmmm (No. 47), with a = 3.437 Å, b = 3.469 Å, c = 8.433 Å, α = 90.00°, β = 90.00° and γ = 90.00°. Symmetry generates all atoms from Re at (0.000, 0.000, 0.000), Pb at (0.500, 0.500, 0.197) and Br at (0.500, 0.000, 0.500).



(12)
A plane-wave DFT calculation with GGA-PBE was carried out for crystalline LaPrRhCl at its relaxed geometry.

The volume is 114.2 Å³/f.u. The density is 6.08 g cm⁻³. The calculation puts the energy at -5.9313 eV/atom. Its density of states at the Fermi level is 3.50 states/eV/cell. The magnetic moment is 0.000 μB/atom. The formation energy (no corrections) is -4.8 eV/f.u.

It has space group R3m (No. 160, hexagonal axes), with a = 4.1081 Å, b = 4.1081 Å, c = 23.4319 Å, α = 90.00°, β = 90.00° and γ = 120.00°. Symmetry generates all atoms from La at (0.0000, 0.0000, 0.0000), Pr at (0.0000, 0.0000, 0.1983), Rh at (0.0000, 0.0000, 0.6013) and Cl at (0.0000, 0.0000, 0.4312).



What did the tenth record say?
A plane-wave DFT calculation with GGA-PBE was carried out for crystalline LiYRu2 at its relaxed geometry.

The volume is 69.1 Å³/f.u. The density is 7.17 g cm⁻³. For the offset from the most stable computed form, the calculation gives 0.045 eV/atom. The calculation puts the energy at -6.6031 eV/atom. Its density of states at the Fermi level is 5.76 states/eV/cell. Its formation energy is 0.52 eV per formula unit. The magnetic moment is 0.191 μB/atom.

It has space group Cm (No. 8), with a = 10.474 Å, b = 3.169 Å, c = 4.633 Å, α = 90.00°, β = 116.10° and γ = 90.00°. Symmetry generates all atoms from Li at (0.000, 0.000, 0.000), Y at (0.277, 0.500, 0.277), Ru at (0.042, 0.500, 0.542) and Ru at (0.260, 0.000, 0.760).